(P)
This record from the Alexandria database describes a relaxed Cd3AgSe crystal. The functional is GGA-PBE.

Cell lengths 5.4106, 5.4106, 5.4106 Å; angles 90.00, 90.00, 90.00 degrees
Element x y z (fractional)
Cd1 0.0000 0.5000 0.0000
Cd2 0.0000 0.0000 0.5000
Cd3 0.5000 0.0000 0.0000
Ag1 0.5000 0.5000 0.5000
Se1 0.0000 0.0000 0.0000

Values from the calculation:
V: 158.40 Å³ per cell
Space-group type: No. 221

(Q)
This record from the Alexandria database describes a relaxed Cd3AgSe crystal. The functional is GGA-PBE.

Cell lengths 5.2405, 5.2405, 5.2405 Å; angles 90.00, 90.00, 90.00 degrees
Element x y z (fractional)
Cd1 0.5000 0.0000 0.0000
Cd2 0.0000 0.0000 0.5000
Cd3 0.0000 0.5000 0.0000
Ag1 0.0000 0.0000 0.0000
Se1 0.5000 0.5000 0.5000

Values from the calculation:
V: 143.92 Å³ per cell
Space-group type: No. 221

Which is most stable, and by how much? (Q), by 11.7 kJ/mol of atoms.

(P)
This record from the Alexandria database describes a relaxed Cd2Si2Ag crystal. The functional is GGA-PBE.

Cell lengths 6.6339, 6.6339, 4.5229 Å; angles 90.00, 90.00, 90.00 degrees
Element x y z (fractional)
Ag1 0.0000 0.0000 0.0000
Ag2 0.5000 0.5000 0.0000
Si1 0.3722 0.8722 0.0000
Si2 0.1278 0.3722 0.0000
Si3 0.8722 0.6278 0.0000
Si4 0.6278 0.1278 0.0000
Cd1 0.1908 0.6908 0.5000
Cd2 0.3092 0.1908 0.5000
Cd3 0.6908 0.8092 0.5000
Cd4 0.8092 0.3092 0.5000

Values from the calculation:
V: 199.05 Å³ per cell
Space-group type: No. 127

(Q)
This record from the Alexandria database describes a relaxed Cd2Si2Ag crystal. The functional is GGA-PBE.

Cell lengths 4.3927, 4.3927, 6.2925 Å; angles 69.57, 69.57, 90.00 degrees
Element x y z (fractional)
Si1 0.3963 0.3963 0.2074
Si2 0.6037 0.6037 0.7926
Ag1 0.0000 0.0000 0.0000
Cd1 0.2500 0.7500 0.5000
Cd2 0.7500 0.2500 0.5000

Values from the calculation:
V: 105.60 Å³ per cell
Space-group type: No. 139

(R)
This record from the Alexandria database describes a relaxed Cd2Si2Ag crystal. The functional is GGA-PBE.

Cell lengths 3.4100, 3.4100, 8.9187 Å; angles 78.98, 78.98, 90.00 degrees
Element x y z (fractional)
Si1 0.7500 0.2500 0.5000
Si2 0.2500 0.7500 0.5000
Ag1 0.0000 0.0000 0.0000
Cd1 0.6019 0.6019 0.7962
Cd2 0.3981 0.3981 0.2038

Values from the calculation:
V: 99.85 Å³ per cell
Space-group type: No. 139

Which is most stable, and by how much? (R), by 6.0 kJ/mol of atoms.